# Mg2Zn2Co PBE relaxed
# **ΔH_f (0 K)**: 337 meV/atom
# **Fermi-level density of states**: 1.222 states/eV per atom
# **Mass density**: 4.711 g/cm³
data_Mg2Zn2Co
_chemical_formula_sum 'Mg4 Zn4 Co2'
_space_group_name_H-M_alt 'P 4/m b m'
_space_group_IT_number 127
_space_group_name_Hall '-P 4 2ab'
_cell_length_a 7.306
_cell_length_b 7.306
_cell_length_c 3.148
_cell_angle_alpha 90.00
_cell_angle_beta 90.00
_cell_angle_gamma 90.00
loop_
_atom_site_label
_atom_site_type_symbol
_atom_site_fract_x
_atom_site_fract_y
_atom_site_fract_z
Mg1 Mg 0.155 0.345 0.000
Zn1 Zn 0.144 0.644 0.500
Co1 Co 0.000 0.000 0.000